DFT (PBE with a Hubbard U) results for FeReF3 after structural relaxation.

Unit cell a=4.209 b=4.209 c=4.209 alpha=90.00 beta=90.00 gamma=90.00
Site moments in Bohr magnetons follow the coordinates.
Positions (direct):
F (0.500, 0.000, 0.000)  0.17
F (0.000, 0.000, 0.500)  0.12
F (0.000, 0.500, 0.000)  0.18
Re (0.500, 0.500, 0.500)  4.46
Fe (0.000, 0.000, 0.000)  3.99

Fermi-level density of states: 4.6 states/eV/f.u.
V: 74.5 Å³/cell
excess energy over the best structure of this formula in the dataset: 0.0 meV per atom
SG: Pm-3m (221)